## PmNd2Dy2Ho (PBE)

Data for a geometry-optimized PmNd2Dy2Ho structure.

For the formation energy from the elements, the calculation gives 66 meV per atom.

It has space group Pmma (No. 51), with a = 7.018 Å, b = 5.699 Å, c = 9.890 Å, α = 90.00°, β = 90.00° and γ = 90.00°. Symmetry generates all atoms from Pm at (0.000, 0.000, 0.000), Nd at (0.000, 0.500, 0.500), Nd at (0.250, 0.000, 0.330), Dy at (0.250, 0.000, 0.665), Dy at (0.250, 0.500, 0.167) and Ho at (0.250, 0.500, 0.836).

=====

## Ba3Se (PBE)

Data for a geometry-optimized Ba3Se structure.

Its excess energy over the best structure of this formula in the dataset is 310 meV per atom.

It has space group Pmm2 (No. 25), with a = 4.729 Å, b = 5.262 Å, c = 7.632 Å, α = 90.00°, β = 90.00° and γ = 90.00°. Symmetry generates all atoms from Ba at (0.000, 0.000, 0.000), Ba at (0.000, 0.500, 0.474), Ba at (0.500, 0.000, 0.586) and Se at (0.500, 0.500, 0.827).

=====

## BeOs2Pd2 (PBE)

Data for a geometry-optimized BeOs2Pd2 structure.

Its excess energy over the best structure of this formula in the dataset is 0 meV per atom. For the formation energy from the elements, the calculation gives 436 meV per atom.

It has space group P4/mbm (No. 127), with a = 5.691 Å, b = 5.691 Å, c = 4.372 Å, α = 90.00°, β = 90.00° and γ = 90.00°. Symmetry generates all atoms from Be at (0.000, 0.000, 0.000), Os at (0.155, 0.345, 0.500) and Pd at (0.159, 0.659, 0.000).

=====

## InP2PbO (PBE)

Data for a geometry-optimized InP2PbO structure.

For the electronic total energy, the calculation gives -19.15 eV per formula unit.

It has space group P4/mmm (No. 123), with a = 5.317 Å, b = 5.317 Å, c = 4.160 Å, α = 90.00°, β = 90.00° and γ = 90.00°. Symmetry generates all atoms from In at (0.000, 0.000, 0.000), P at (0.000, 0.500, 0.500), Pb at (0.500, 0.500, 0.500) and O at (0.500, 0.500, 0.000).